A relaxed structure of SrLiCe2N4. Source: Alexandria via LeMat-Bulk, functional PBE.

Structure (CIF):
```
data_SrLiCe2N4
_symmetry_space_group_name_H-M 'C m c m'
_symmetry_Int_Tables_number 63
_symmetry_space_group_name_Hall '-C 2c 2'
_cell_length_a 3.6256
_cell_length_b 11.6855
_cell_length_c 11.5217
_cell_angle_alpha 90.00
_cell_angle_beta 90.00
_cell_angle_gamma 90.00
loop_
_atom_site_label
_atom_site_type_symbol
_atom_site_fract_x
_atom_site_fract_y
_atom_site_fract_z
_atom_site_occupancy
Sr1 Sr 0.0000 0.1002 0.2500 1
Li1 Li 0.0000 0.1717 0.7500 1
Ce1 Ce 0.0000 0.3671 0.0575 1
N1 N 0.0000 0.0000 0.0000 1
N2 N 0.0000 0.2611 0.6041 1
N3 N 0.0000 0.4227 0.2500 1
```

Values from the calculation:
Formation energy without anion corrections   -0.9954 eV per atom
Spin magnetization   3.81 Bohr magnetons per cell